Record 1
Material: AcNd3Cd6
Method: DFT, GGA-PBE
State: optimized geometry

The crystal system is monoclinic. Its volume is 286.19 Å³/f.u. The total moment comes out at 0.0 μB per formula unit.

```
data_AcNd3Cd6
_chemical_formula_sum 'Ac2 Nd6 Cd12'
_cell_length_a 9.6204
_cell_length_b 5.3389
_cell_length_c 11.6622
_cell_angle_alpha 90.00
_cell_angle_beta 107.15
_cell_angle_gamma 90.00
_symmetry_space_group_name_H-M 'P 1 21/m 1'
_symmetry_Int_Tables_number 11
_symmetry_space_group_name_Hall '-P 2yb'
loop_
_atom_site_label
_atom_site_type_symbol
_atom_site_fract_x
_atom_site_fract_y
_atom_site_fract_z
Ac1 Ac 0.0600 0.2500 0.3802
Nd1 Nd 0.2330 0.2500 0.9925
Nd2 Nd 0.3550 0.7500 0.8058
Nd3 Nd 0.4844 0.2500 0.6079
Cd1 Cd 0.0501 0.7500 0.9148
Cd2 Cd 0.1505 0.7500 0.1943
Cd3 Cd 0.1763 0.2500 0.6923
Cd4 Cd 0.2552 0.7500 0.5166
Cd5 Cd 0.3485 0.2500 0.2806
Cd6 Cd 0.4453 0.7500 0.1001
```

***

Record 2
Material: Ac2Nd2Cd
Method: DFT, GGA-PBE
State: optimized geometry

Its offset from the most stable computed form is 0.0912 eV/atom. The crystal system is monoclinic. Its volume is 183.46 Å³/f.u. The total moment comes out at 0.0 μB per formula unit.

```
data_Ac2Nd2Cd
_chemical_formula_sum 'Ac8 Nd8 Cd4'
_cell_length_a 8.8343
_cell_length_b 10.2355
_cell_length_c 8.9501
_cell_angle_alpha 90.00
_cell_angle_beta 114.94
_cell_angle_gamma 90.00
_symmetry_space_group_name_H-M 'C 1 2/m 1'
_symmetry_Int_Tables_number 12
_symmetry_space_group_name_Hall '-C 2y'
loop_
_atom_site_label
_atom_site_type_symbol
_atom_site_fract_x
_atom_site_fract_y
_atom_site_fract_z
Ac1 Ac 0.0788 0.1898 0.2257
Nd1 Nd 0.1524 0.5000 0.9253
Nd2 Nd 0.2182 0.0000 0.6224
Cd1 Cd 0.0000 0.3574 0.5000
```

***

Record 3
Material: AcNd5Cd4
Method: DFT, GGA-PBE
State: optimized geometry

The crystal system is tetragonal. Its volume is 308.00 Å³/f.u. The total moment comes out at 1.2 μB per formula unit.

```
data_AcNd5Cd4
_chemical_formula_sum 'Ac1 Nd5 Cd4'
_cell_length_a 3.8589
_cell_length_b 3.8589
_cell_length_c 20.6833
_cell_angle_alpha 90.00
_cell_angle_beta 90.00
_cell_angle_gamma 90.00
_symmetry_space_group_name_H-M 'P 4/m m m'
_symmetry_Int_Tables_number 123
_symmetry_space_group_name_Hall '-P 4 2'
loop_
_atom_site_label
_atom_site_type_symbol
_atom_site_fract_x
_atom_site_fract_y
_atom_site_fract_z
Ac1 Ac 0.0000 0.0000 0.0000
Nd1 Nd 0.5000 0.5000 0.1279
Nd2 Nd 0.5000 0.5000 0.3144
Nd3 Nd 0.5000 0.5000 0.5000
Cd1 Cd 0.0000 0.0000 0.2198
Cd2 Cd 0.0000 0.0000 0.4066
```

***

Record 4
Material: Ac9Nd4Cd11
Method: DFT, GGA-PBE
State: optimized geometry

The crystal system is orthorhombic. Its volume is 788.40 Å³/f.u. The total moment comes out at 0.0 μB per formula unit.

```
data_Ac9Nd4Cd11
_chemical_formula_sum 'Ac18 Nd8 Cd22'
_cell_length_a 16.9086
_cell_length_b 24.1779
_cell_length_c 3.8570
_cell_angle_alpha 90.00
_cell_angle_beta 90.00
_cell_angle_gamma 90.00
_symmetry_space_group_name_H-M 'C m m m'
_symmetry_Int_Tables_number 65
_symmetry_space_group_name_Hall '-C 2 2'
loop_
_atom_site_label
_atom_site_type_symbol
_atom_site_fract_x
_atom_site_fract_y
_atom_site_fract_z
Ac1 Ac 0.0000 0.0000 0.0000
Ac2 Ac 0.1141 0.2395 0.0000
Ac3 Ac 0.1242 0.4157 0.0000
Nd1 Nd 0.1561 0.0934 0.0000
Cd1 Cd 0.0000 0.1328 0.5000
Cd2 Cd 0.0000 0.3322 0.5000
Cd3 Cd 0.0000 0.5000 0.5000
Cd4 Cd 0.2379 0.3220 0.5000
Cd5 Cd 0.2394 0.0000 0.5000
```

***

Record 5
Material: AcNd7Cd2
Method: DFT, GGA-PBE
State: optimized geometry

The crystal system is orthorhombic. Its volume is 409.66 Å³/f.u. The total moment comes out at 0.0 μB per formula unit.

```
data_AcNd7Cd2
_chemical_formula_sum 'Ac2 Nd14 Cd4'
_cell_length_a 9.1910
_cell_length_b 15.8051
_cell_length_c 5.6402
_cell_angle_alpha 90.00
_cell_angle_beta 90.00
_cell_angle_gamma 90.00
_symmetry_space_group_name_H-M 'C m m m'
_symmetry_Int_Tables_number 65
_symmetry_space_group_name_Hall '-C 2 2'
loop_
_atom_site_label
_atom_site_type_symbol
_atom_site_fract_x
_atom_site_fract_y
_atom_site_fract_z
Ac1 Ac 0.0000 0.0000 0.0000
Nd1 Nd 0.0000 0.2396 0.0000
Nd2 Nd 0.0000 0.5000 0.5000
Nd3 Nd 0.1810 0.1222 0.5000
Cd1 Cd 0.0000 0.3036 0.5000
```

***

Record 6
Material: Ac6NdCd
Method: DFT, GGA-PBE
State: optimized geometry

The crystal system is tetragonal. Its volume is 323.38 Å³/f.u. The total moment comes out at 0.0 μB per formula unit.

```
data_Ac6NdCd
_chemical_formula_sum 'Ac12 Nd2 Cd2'
_cell_length_a 5.4813
_cell_length_b 5.4813
_cell_length_c 21.5266
_cell_angle_alpha 90.00
_cell_angle_beta 90.00
_cell_angle_gamma 90.00
_symmetry_space_group_name_H-M 'I 4/m m m'
_symmetry_Int_Tables_number 139
_symmetry_space_group_name_Hall '-I 4 2'
loop_
_atom_site_label
_atom_site_type_symbol
_atom_site_fract_x
_atom_site_fract_y
_atom_site_fract_z
Ac1 Ac 0.0000 0.0000 0.2502
Ac2 Ac 0.0000 0.5000 0.1168
Nd1 Nd 0.0000 0.0000 0.0000
Cd1 Cd 0.0000 0.0000 0.5000
```

***

Record 7
Material: Ac6NdCd5
Method: DFT, GGA-PBE
State: optimized geometry

The crystal system is monoclinic. Its volume is 417.06 Å³/f.u. The total moment comes out at 0.0 μB per formula unit.

```
data_Ac6NdCd5
_chemical_formula_sum 'Ac6 Nd1 Cd5'
_cell_length_a 5.7552
_cell_length_b 8.2645
_cell_length_c 9.2265
_cell_angle_alpha 90.00
_cell_angle_beta 108.13
_cell_angle_gamma 90.00
_symmetry_space_group_name_H-M 'P 1 2/m 1'
_symmetry_Int_Tables_number 10
_symmetry_space_group_name_Hall '-P 2y'
loop_
_atom_site_label
_atom_site_type_symbol
_atom_site_fract_x
_atom_site_fract_y
_atom_site_fract_z
Ac1 Ac 0.0000 0.2326 0.0000
Ac2 Ac 0.3290 0.2487 0.6567
Nd1 Nd 0.5000 0.5000 0.0000
Cd1 Cd 0.1549 0.5000 0.3106
Cd2 Cd 0.1654 0.0000 0.3343
Cd3 Cd 0.5000 0.0000 0.0000
```

***

Record 8
Material: Ac2NdCd4
Method: DFT, GGA-PBE
State: optimized geometry

The crystal system is tetragonal. Its volume is 234.08 Å³/f.u. The total moment comes out at 0.0 μB per formula unit.

```
data_Ac2NdCd4
_chemical_formula_sum 'Ac4 Nd2 Cd8'
_cell_length_a 5.6715
_cell_length_b 5.6715
_cell_length_c 14.5546
_cell_angle_alpha 90.00
_cell_angle_beta 90.00
_cell_angle_gamma 90.00
_symmetry_space_group_name_H-M 'I 4/m m m'
_symmetry_Int_Tables_number 139
_symmetry_space_group_name_Hall '-I 4 2'
loop_
_atom_site_label
_atom_site_type_symbol
_atom_site_fract_x
_atom_site_fract_y
_atom_site_fract_z
Ac1 Ac 0.0000 0.0000 0.2316
Nd1 Nd 0.0000 0.0000 0.5000
Cd1 Cd 0.0000 0.5000 0.1053
```

***

Calculated values (states/eV per atom) of DOS at the Fermi energy for the records, taken in order: 0.8654 1.1829 1.3506 1.0330 1.9009 1.3798 1.2123 0.7804.
Calculated values (eV per formula unit) of DFT formation energy for the records, taken in order: -2.76 -0.03 -2.49 -5.43 3.52 -0.07 -2.49 -1.17.